A relaxed ZrMn4Ir crystal, computed with PBE-GGA.

The structure belongs to space group F-43m (No. 216); the cell edges are 6.790, 6.790 and 6.790 Å and the angles 90.00°, 90.00° and 90.00°. The inequivalent atoms are Zr at (0.000, 0.000, 0.000), Mn at (0.125, 0.125, 0.625) and Ir at (0.250, 0.250, 0.250).

As for the formation energy: -132 meV/atom. For the density of states at the Fermi level, the calculation gives 1.289 states/eV/atom.